1.
# SrCaSm, optimized geometry, DFT PBE
# Fermi-level density of states: 5.31 states/eV/cell
# Offset from the most stable computed form: 0.040 eV per atom
# E: -8.01 eV for the cell shown
# Formation energy from the elements: 0.4 eV per formula unit
# Magnetization: 0.00 μB per formula unit
data_SrCaSm
_symmetry_space_group_name_H-M 'P 3 m 1'
_symmetry_Int_Tables_number 156
_cell_length_a 3.8666
_cell_length_b 3.8666
_cell_length_c 9.6127
_cell_angle_alpha 90.00
_cell_angle_beta 90.00
_cell_angle_gamma 120.00
loop_
_symmetry_equiv_pos_as_xyz
'x,y,z'
'-y,x-y,z'
'-x+y,-x,z'
'-y,-x,z'
'-x+y,y,z'
'x,x-y,z'
loop_
_atom_site_label
_atom_site_fract_x
_atom_site_fract_y
_atom_site_fract_z
Sr1 0.0000 0.0000 0.0000
Ca1 0.3333 0.6667 0.6469
Sm1 0.6667 0.3333 0.3341

=====

2.
# TaBr, optimized geometry, DFT PBE
# Fermi-level density of states: 6.07 states/eV/cell
# Uncorrected formation energy: 0.0124 eV per atom
# E: -81.00 eV for the cell shown
# Magnetization: 0.00 μB per formula unit
data_TaBr
_symmetry_space_group_name_H-M 'C 1 m 1'
_symmetry_Int_Tables_number 8
_cell_length_a 12.1167
_cell_length_b 3.2975
_cell_length_c 7.3951
_cell_angle_alpha 90.00
_cell_angle_beta 92.53
_cell_angle_gamma 90.00
loop_
_symmetry_equiv_pos_as_xyz
'x,y,z'
'x,-y,z'
'x+1/2,y+1/2,z'
'x+1/2,-y+1/2,z'
loop_
_atom_site_label
_atom_site_fract_x
_atom_site_fract_y
_atom_site_fract_z
Ta1 0.0000 0.0000 0.0000
Ta2 0.0174 0.5000 0.2961
Ta3 0.3372 0.5000 0.2366
Br1 0.1915 0.0000 0.4492
Br2 0.2276 0.0000 0.9911
Br3 0.4706 0.0000 0.7108

=====

3.
# Pr5ErSc, optimized geometry, DFT PBE
# Fermi-level density of states: 10.03 states/eV/cell
# E: -33.12 eV for the cell shown
# Formation energy from the elements: 1.7 eV per formula unit
# Magnetization: 0.00 μB per formula unit
data_Pr5ErSc
_symmetry_space_group_name_H-M 'P 4/m m m'
_symmetry_Int_Tables_number 123
_symmetry_space_group_name_Hall '-P 4 2'
_cell_length_a 5.3911
_cell_length_b 5.3911
_cell_length_c 8.5804
_cell_angle_alpha 90.00
_cell_angle_beta 90.00
_cell_angle_gamma 90.00
loop_
_atom_site_label
_atom_site_fract_x
_atom_site_fract_y
_atom_site_fract_z
Pr1 0.0000 0.0000 0.0000
Pr2 0.0000 0.5000 0.2866
Er1 0.5000 0.5000 0.0000
Sc1 0.5000 0.5000 0.5000

=====

4.
# Ca2CuOs, optimized geometry, DFT PBE
# Fermi-level density of states: 3.14 states/eV/cell
# E: -18.03 eV for the cell shown
# Formation energy from the elements: 1.3 eV per formula unit
# Magnetization: 0.00 μB per formula unit
data_Ca2CuOs
_symmetry_space_group_name_H-M 'P 4 m m'
_symmetry_Int_Tables_number 99
_cell_length_a 3.3785
_cell_length_b 3.3785
_cell_length_c 8.1916
_cell_angle_alpha 90.00
_cell_angle_beta 90.00
_cell_angle_gamma 90.00
loop_
_symmetry_equiv_pos_as_xyz
'x,y,z'
'-y,x,z'
'-x,-y,z'
'y,-x,z'
'-x,y,z'
'y,x,z'
'x,-y,z'
'-y,-x,z'
loop_
_atom_site_label
_atom_site_fract_x
_atom_site_fract_y
_atom_site_fract_z
Ca1 0.0000 0.0000 0.0000
Ca2 0.5000 0.5000 0.4165
Cu1 0.0000 0.0000 0.6539
Os1 0.5000 0.5000 0.7602

=====

5.
# ZrPaGa2, optimized geometry, DFT PBE
# Fermi-level density of states: 13.09 states/eV/cell
# Offset from the most stable computed form: 0.124 eV per atom
# E: -75.42 eV for the cell shown
# Formation energy from the elements: -1.0 eV per formula unit
# Magnetization: 0.00 μB per formula unit
data_ZrPaGa2
_symmetry_space_group_name_H-M 'R -3 m'
_symmetry_Int_Tables_number 166
_symmetry_space_group_name_Hall '-R 3 2"'
_cell_length_a 3.1397
_cell_length_b 3.1397
_cell_length_c 29.4082
_cell_angle_alpha 90.00
_cell_angle_beta 90.00
_cell_angle_gamma 120.00
loop_
_atom_site_label
_atom_site_fract_x
_atom_site_fract_y
_atom_site_fract_z
Zr1 0.0000 0.0000 0.0000
Pa1 0.0000 0.0000 0.5000
Ga1 0.0000 0.0000 0.2539

=====

6.
# Ce2Ga4CoPt3, optimized geometry, DFT PBE
# Fermi-level density of states: 11.70 states/eV/cell
# E: -57.28 eV for the cell shown
# Formation energy from the elements: -8.1 eV per formula unit
# Magnetization: 0.97 μB per formula unit
data_Ce2Ga4CoPt3
_symmetry_space_group_name_H-M 'P -4 m 2'
_symmetry_Int_Tables_number 115
_cell_length_a 4.1873
_cell_length_b 4.1873
_cell_length_c 10.6097
_cell_angle_alpha 90.00
_cell_angle_beta 90.00
_cell_angle_gamma 90.00
loop_
_symmetry_equiv_pos_as_xyz
'x,y,z'
'y,-x,-z'
'-x,-y,z'
'-y,x,-z'
'-x,y,z'
'-y,-x,-z'
'x,-y,z'
'y,x,-z'
loop_
_atom_site_label
_atom_site_fract_x
_atom_site_fract_y
_atom_site_fract_z
Ce1 0.0000 0.5000 0.2465
Ga1 0.0000 0.0000 0.5000
Ga2 0.0000 0.5000 0.8757
Ga3 0.5000 0.5000 0.5000
Co1 0.5000 0.5000 0.0000
Pt1 0.0000 0.0000 0.0000
Pt2 0.0000 0.5000 0.6402

=====

7.
# Ac3TlSn2Pd6, optimized geometry, DFT PBE
# Fermi-level density of states: 5.17 states/eV/cell
# E: -61.68 eV for the cell shown
# Formation energy from the elements: -7.8 eV per formula unit
# Magnetization: 0.00 μB per formula unit
data_Ac3TlSn2Pd6
_symmetry_space_group_name_H-M 'P -3 m 1'
_symmetry_Int_Tables_number 164
_symmetry_space_group_name_Hall '-P 3 2"'
_cell_length_a 6.0511
_cell_length_b 6.0511
_cell_length_c 9.3314
_cell_angle_alpha 90.00
_cell_angle_beta 90.00
_cell_angle_gamma 120.00
loop_
_atom_site_label
_atom_site_fract_x
_atom_site_fract_y
_atom_site_fract_z
Ac1 0.0000 0.0000 0.0000
Ac2 0.3333 0.6667 0.6523
Tl1 0.0000 0.0000 0.5000
Sn1 0.3333 0.6667 0.0410
Pd1 0.1758 0.3517 0.2808

=====

8.
# CoMoIr2, optimized geometry, DFT PBE
# Fermi-level density of states: 9.73 states/eV/cell
# Offset from the most stable computed form: 0.114 eV per atom
# E: -71.88 eV for the cell shown
# Formation energy from the elements: -0.3 eV per formula unit
# Magnetization: 0.67 μB per formula unit
data_CoMoIr2
_symmetry_space_group_name_H-M 'C m m m'
_symmetry_Int_Tables_number 65
_symmetry_space_group_name_Hall '-C 2 2'
_cell_length_a 5.4089
_cell_length_b 7.5757
_cell_length_c 2.7270
_cell_angle_alpha 90.00
_cell_angle_beta 90.00
_cell_angle_gamma 90.00
loop_
_atom_site_label
_atom_site_fract_x
_atom_site_fract_y
_atom_site_fract_z
Co1 0.0000 0.0000 0.0000
Mo1 0.0000 0.5000 0.0000
Ir1 0.2500 0.2500 0.5000

=====

9.
# LaAl2GaPd4, optimized geometry, DFT PBE
# Fermi-level density of states: 11.09 states/eV/cell
# E: -127.71 eV for the cell shown
# Formation energy from the elements: -6.4 eV per formula unit
# Magnetization: 0.00 μB per formula unit
data_LaAl2GaPd4
_symmetry_space_group_name_H-M 'R -3 m'
_symmetry_Int_Tables_number 166
_symmetry_space_group_name_Hall '-R 3 2"'
_cell_length_a 4.3277
_cell_length_b 4.3277
_cell_length_c 26.7220
_cell_angle_alpha 90.00
_cell_angle_beta 90.00
_cell_angle_gamma 120.00
loop_
_atom_site_label
_atom_site_fract_x
_atom_site_fract_y
_atom_site_fract_z
La1 0.0000 0.0000 0.0000
Al1 0.0000 0.0000 0.2377
Ga1 0.0000 0.0000 0.5000
Pd1 0.0000 0.0000 0.1346
Pd2 0.0000 0.0000 0.4049

=====

10.
# Al4NiOs, optimized geometry, DFT PBE
# Fermi-level density of states: 8.84 states/eV/cell
# E: -124.99 eV for the cell shown
# Formation energy from the elements: 0.7 eV per formula unit
# Magnetization: 0.00 μB per formula unit
data_Al4NiOs
_symmetry_space_group_name_H-M 'F -4 3 m'
_symmetry_Int_Tables_number 216
_symmetry_space_group_name_Hall 'F -4 2 3'
_cell_length_a 6.9697
_cell_length_b 6.9697
_cell_length_c 6.9697
_cell_angle_alpha 90.00
_cell_angle_beta 90.00
_cell_angle_gamma 90.00
loop_
_atom_site_label
_atom_site_fract_x
_atom_site_fract_y
_atom_site_fract_z
Al1 0.1249 0.1249 0.1249
Ni1 0.2500 0.2500 0.7500
Os1 0.0000 0.0000 0.5000

=====

11.
# KGa2Ge2, optimized geometry, DFT PBE
# Fermi-level density of states: 2.78 states/eV/cell
# Offset from the most stable computed form: 0.000 eV per atom
# E: -34.11 eV for the cell shown
# Formation energy from the elements: -0.7 eV per formula unit
# Magnetization: 0.00 μB per formula unit
data_KGa2Ge2
_symmetry_space_group_name_H-M 'P 4/n m m'
_symmetry_Int_Tables_number 129
_cell_length_a 4.6604
_cell_length_b 4.6604
_cell_length_c 10.5179
_cell_angle_alpha 90.00
_cell_angle_beta 90.00
_cell_angle_gamma 90.00
loop_
_symmetry_equiv_pos_as_xyz
'x,y,z'
'-x,-y,-z'
'-y+1/2,x,z'
'y+1/2,-x,-z'
'-x+1/2,-y+1/2,z'
'x+1/2,y+1/2,-z'
'y,-x+1/2,z'
'-y,x+1/2,-z'
'x+1/2,-y,-z'
'-x+1/2,y,z'
'-y,-x,-z'
'y,x,z'
'-x,y+1/2,-z'
'x,-y+1/2,z'
'y+1/2,x+1/2,-z'
'-y+1/2,-x+1/2,z'
loop_
_atom_site_label
_atom_site_fract_x
_atom_site_fract_y
_atom_site_fract_z
K1 0.2500 0.2500 0.2503
Ga1 0.2500 0.2500 0.6266
Ga2 0.2500 0.7500 0.0000
Ge1 0.2500 0.2500 0.8725
Ge2 0.2500 0.7500 0.5000

=====

12.
# TlInNi2, optimized geometry, DFT PBE
# Fermi-level density of states: 2.29 states/eV/cell
# Offset from the most stable computed form: 0.000 eV per atom
# E: -16.19 eV for the cell shown
# Formation energy from the elements: 0.5 eV per formula unit
# Magnetization: 0.00 μB per formula unit
data_TlInNi2
_symmetry_space_group_name_H-M 'P 1 m 1'
_symmetry_Int_Tables_number 6
_cell_length_a 3.5382
_cell_length_b 3.9886
_cell_length_c 5.2259
_cell_angle_alpha 90.00
_cell_angle_beta 109.49
_cell_angle_gamma 90.00
loop_
_symmetry_equiv_pos_as_xyz
'x,y,z'
'x,-y,z'
loop_
_atom_site_label
_atom_site_fract_x
_atom_site_fract_y
_atom_site_fract_z
Tl1 0.0000 0.0000 0.0000
In1 0.7085 0.5000 0.4121
Ni1 0.2772 0.0000 0.5524
Ni2 0.4226 0.5000 0.8424

=====

Question: Number 6 is which compound?
Answer: Ce2Ga4CoPt3

=====

Repeat the fifth record exactly.
# ZrPaGa2, optimized geometry, DFT PBE
# Fermi-level density of states: 13.09 states/eV/cell
# Offset from the most stable computed form: 0.124 eV per atom
# E: -75.42 eV for the cell shown
# Formation energy from the elements: -1.0 eV per formula unit
# Magnetization: 0.00 μB per formula unit
data_ZrPaGa2
_symmetry_space_group_name_H-M 'R -3 m'
_symmetry_Int_Tables_number 166
_symmetry_space_group_name_Hall '-R 3 2"'
_cell_length_a 3.1397
_cell_length_b 3.1397
_cell_length_c 29.4082
_cell_angle_alpha 90.00
_cell_angle_beta 90.00
_cell_angle_gamma 120.00
loop_
_atom_site_label
_atom_site_fract_x
_atom_site_fract_y
_atom_site_fract_z
Zr1 0.0000 0.0000 0.0000
Pa1 0.0000 0.0000 0.5000
Ga1 0.0000 0.0000 0.2539

=====

Question: Look up the Fermi-level density of states of the third one.
Answer: 10.03 states/eV/cell